1.
Ca2Sm2Pd4Au, optimized geometry, DFT PBE-GGA; symmetry = I4/mmm (139); ΔH_f (0 K) = -455 meV per atom; Fermi-level density of states = 5.05 states/eV/cell; density = 7.5 Mg/m³; energy = -4.6208 eV per atom
1.0
6.659 0.177 0.256
-3.041 5.926 -0.256
-3.041 -2.322 5.459
Pd Sm Ca Au
4 2 2 1
direct
0.457 0.729 0.729
0.000 0.271 0.729
0.543 0.271 0.271
0.000 0.729 0.271
0.000 0.309 0.309
0.000 0.691 0.691
0.500 0.750 0.250
0.500 0.250 0.750
0.000 0.000 0.000

2.
CaSmPdAu, optimized geometry, DFT PBE-GGA; symmetry = F-43m (216); ΔH_f (0 K) = -773 meV per atom; Fermi-level density of states = 2.21 states/eV/cell; density = 8.8 Mg/m³; energy = -4.5712 eV per atom; distance to the lowest polymorph of the same formula = 0.029 eV/atom
1.0
5.095 0.000 0.000
2.547 4.412 0.000
2.547 1.471 4.160
Sm Pd Ca Au
1 1 1 1
direct
0.250 0.250 0.250
0.500 0.500 0.500
0.750 0.750 0.750
0.000 0.000 0.000

3.
CaSmPdAu, optimized geometry, DFT PBE-GGA; symmetry = Amm2 (38); ΔH_f (0 K) = -802 meV per atom; Fermi-level density of states = 2.75 states/eV/cell; density = 8.3 Mg/m³; energy = -4.6001 eV per atom; distance to the lowest polymorph of the same formula = 0.000 eV/atom
1.0
3.939 0.000 0.000
0.000 4.518 0.000
-1.969 0.000 5.534
Pd Ca Sm Au
1 1 1 1
direct
0.414 0.000 0.827
0.141 0.000 0.282
0.864 0.500 0.727
0.582 0.500 0.164

4.
Ca2SnPd3Au12, optimized geometry, DFT PBE-GGA; symmetry = R-3m (166); ΔH_f (0 K) = -227 meV per atom; Fermi-level density of states = 6.20 states/eV/cell; density = 13.4 Mg/m³; energy = -3.7221 eV per atom
1.0
-0.171 6.425 3.155
-5.490 2.713 -3.710
-5.145 -1.440 4.766
Sn Au Ca Pd
1 12 2 3
direct
0.000 0.000 0.000
0.798 0.798 0.294
0.798 0.294 0.798
0.587 0.126 0.587
0.587 0.587 0.126
0.126 0.587 0.587
0.413 0.874 0.413
0.294 0.798 0.798
0.413 0.413 0.874
0.706 0.202 0.202
0.874 0.413 0.413
0.202 0.202 0.706
0.202 0.706 0.202
0.269 0.269 0.269
0.731 0.731 0.731
0.000 0.500 0.000
0.500 0.000 0.000
0.000 0.000 0.500